1.
Entry from the Alexandria database: an optimized crystal structure of Ca4HgAu3 (PBE).

Summary:
volume = 212.17 Å³ per cell
E_form = -0.723 eV per atom
excess energy over the best structure of this formula in the dataset = 0.00 eV/f.u.
spin magnetization = 0.000 μB/atom
space group = Pmm2

Cell: 3.991 4.719 11.266 Å, 90.00 90.00 90.00°
Atoms (fractional coordinates):
Ca1 0.000 0.000 0.000
Ca2 0.000 0.500 0.271
Ca3 0.500 0.000 0.485
Ca4 0.500 0.500 0.776
Hg1 0.000 0.000 0.715
Au1 0.000 0.500 0.549
Au2 0.500 0.000 0.214
Au3 0.500 0.500 0.051

=====

2.
Entry from the Alexandria database: an optimized crystal structure of CeDyCu10 (PBE).

Summary:
volume = 181.17 Å³ per cell
E_form = -0.150 eV per atom
spin magnetization = 0.090 μB/atom
space group = Pmmm

Cell: 4.112 5.057 8.712 Å, 90.00 90.00 90.00°
Atoms (fractional coordinates):
Ce1 0.000 0.000 0.000
Dy1 0.000 0.500 0.500
Cu1 0.000 0.000 0.336
Cu2 0.000 0.000 0.664
Cu3 0.000 0.500 0.170
Cu4 0.000 0.500 0.830
Cu5 0.500 0.000 0.500
Cu6 0.500 0.252 0.254
Cu7 0.500 0.252 0.746
Cu8 0.500 0.500 0.000
Cu9 0.500 0.748 0.254
Cu10 0.500 0.748 0.746

=====

3.
Entry from the Alexandria database: an optimized crystal structure of GaHgBi2 (PBE).

Summary:
volume = 114.51 Å³ per cell
E_form = 0.122 eV per atom
spin magnetization = 0.000 μB/atom
space group = R-3m

Cell: 7.596 7.596 7.596 Å, 32.81 32.81 32.81°
Atoms (fractional coordinates):
Ga1 0.000 0.000 0.000
Hg1 0.500 0.500 0.500
Bi1 0.259 0.259 0.259
Bi2 0.741 0.741 0.741

=====

4.
Entry from the Alexandria database: an optimized crystal structure of AlIrSe2 (PBE).

Summary:
volume = 72.48 Å³ per cell
raw formation energy = -83 meV per atom
spin magnetization = 0.000 μB/atom
space group = Pmmm

Cell: 3.712 3.736 5.225 Å, 90.00 90.00 90.00°
Atoms (fractional coordinates):
Al1 0.000 0.000 0.000
Ir1 0.500 0.500 0.500
Se1 0.000 0.000 0.500
Se2 0.500 0.500 0.000

=====

5.
Entry from the Alexandria database: an optimized crystal structure of SrLi (PBE).

Summary:
volume = 83.50 Å³ per cell
E_form = 0.216 eV per atom
excess energy over the best structure of this formula in the dataset = 0.38 eV/f.u.
spin magnetization = 0.000 μB/atom
space group = Fm-3m

Cell: 4.906 4.906 4.906 Å, 60.00 60.00 60.00°
Atoms (fractional coordinates):
Sr1 0.000 0.000 0.000
Li1 0.500 0.500 0.500